# 1
The following is a DFT calculation (PBE) of a geometry-optimized Mn2FeRe structure.

The value obtained for the calculated formation energy is 0.074 eV per atom. The spin magnetization comes out at 4.64 μB/f.u. For the density of states at the Fermi level, the calculation gives 0.72 states/eV/atom.

Cell: 5.813 5.813 5.813 Å, 90.00 90.00 90.00°
Element x y z (fractional)
Mn: 0.000 0.000 0.000
Mn: 0.000 0.500 0.500
Mn: 0.250 0.250 0.250
Mn: 0.250 0.750 0.750
Mn: 0.500 0.000 0.500
Mn: 0.500 0.500 0.000
Mn: 0.750 0.250 0.750
Mn: 0.750 0.750 0.250
Fe: 0.000 0.000 0.500
Fe: 0.000 0.500 0.000
Fe: 0.500 0.000 0.000
Fe: 0.500 0.500 0.500
Re: 0.250 0.250 0.750
Re: 0.250 0.750 0.250
Re: 0.750 0.250 0.250
Re: 0.750 0.750 0.750


# 2
The following is a DFT calculation (PBE) of a geometry-optimized TaTi5C5 structure.

The value obtained for the calculated formation energy is -0.792 eV per atom. The spin magnetization comes out at 0.00 μB/f.u. For the density of states at the Fermi level, the calculation gives 0.33 states/eV/atom.

Cell: 5.345 5.345 6.175 Å, 106.85 106.85 48.18°
Element x y z (fractional)
Ta: 0.000 0.000 0.000
Ti: 0.000 0.000 0.500
Ti: 0.322 0.322 0.669
Ti: 0.329 0.329 0.154
Ti: 0.671 0.671 0.846
Ti: 0.678 0.678 0.331
C: 0.168 0.168 0.338
C: 0.168 0.168 0.830
C: 0.500 0.500 0.000
C: 0.832 0.832 0.170
C: 0.832 0.832 0.662


# 3
The following is a DFT calculation (PBE) of a geometry-optimized NpTi5 structure.

The value obtained for the calculated formation energy is 0.170 eV per atom. The spin magnetization comes out at 2.45 μB/f.u. For the density of states at the Fermi level, the calculation gives 1.83 states/eV/atom.

Cell: 4.825 14.419 3.008 Å, 90.00 90.00 90.00°
Element x y z (fractional)
Np: 0.000 0.000 0.000
Np: 0.500 0.500 0.000
Ti: 0.000 0.157 0.500
Ti: 0.000 0.325 0.000
Ti: 0.000 0.500 0.500
Ti: 0.000 0.675 0.000
Ti: 0.000 0.843 0.500
Ti: 0.500 0.000 0.500
Ti: 0.500 0.175 0.000
Ti: 0.500 0.343 0.500
Ti: 0.500 0.657 0.500
Ti: 0.500 0.825 0.000


# 4
The following is a DFT calculation (PBE) of a geometry-optimized YEr3Tm6 structure.

The value obtained for the calculated formation energy is 0.157 eV per atom. The spin magnetization comes out at 0.00 μB/f.u. For the density of states at the Fermi level, the calculation gives 1.50 states/eV/atom. The energy above the most stable polymorph in this dataset is 31 meV per atom.

Cell: 10.822 10.822 6.107 Å, 90.00 90.00 119.79°
Element x y z (fractional)
Y: 0.207 0.793 0.500
Y: 0.793 0.207 0.000
Er: 0.064 0.280 0.693
Er: 0.280 0.064 0.193
Er: 0.391 0.609 0.581
Er: 0.609 0.391 0.081
Er: 0.720 0.936 0.693
Er: 0.936 0.720 0.193
Tm: 0.039 0.461 0.293
Tm: 0.047 0.953 0.733
Tm: 0.285 0.715 0.009
Tm: 0.288 0.382 0.121
Tm: 0.382 0.288 0.621
Tm: 0.461 0.039 0.793
Tm: 0.539 0.961 0.293
Tm: 0.618 0.712 0.121
Tm: 0.712 0.618 0.621
Tm: 0.715 0.285 0.509
Tm: 0.953 0.047 0.233
Tm: 0.961 0.539 0.793


# 5
The following is a DFT calculation (PBE) of a geometry-optimized Ta3GaNi structure.

The value obtained for the calculated formation energy is 0.767 eV per atom. The spin magnetization comes out at 0.00 μB/f.u. For the density of states at the Fermi level, the calculation gives 1.05 states/eV/atom. The energy above the most stable polymorph in this dataset is 0 meV per atom.

Cell: 4.592 4.592 4.592 Å, 90.00 90.00 90.00°
Element x y z (fractional)
Ta: 0.000 0.000 0.500
Ta: 0.000 0.500 0.000
Ta: 0.500 0.000 0.000
Ga: 0.500 0.500 0.500
Ni: 0.000 0.000 0.000


# 6
The following is a DFT calculation (PBE) of a geometry-optimized Cs2ReSn structure.

The value obtained for the calculated formation energy is 1.614 eV per atom. The spin magnetization comes out at 3.08 μB/f.u. For the density of states at the Fermi level, the calculation gives 0.93 states/eV/atom.

Cell: 8.799 8.799 8.799 Å, 90.00 90.00 90.00°
Element x y z (fractional)
Cs: 0.250 0.250 0.250
Cs: 0.250 0.250 0.750
Cs: 0.250 0.750 0.250
Cs: 0.250 0.750 0.750
Cs: 0.750 0.250 0.250
Cs: 0.750 0.250 0.750
Cs: 0.750 0.750 0.250
Cs: 0.750 0.750 0.750
Re: 0.000 0.000 0.000
Re: 0.000 0.500 0.500
Re: 0.500 0.000 0.500
Re: 0.500 0.500 0.000
Sn: 0.000 0.000 0.500
Sn: 0.000 0.500 0.000
Sn: 0.500 0.000 0.000
Sn: 0.500 0.500 0.500


# 7
The following is a DFT calculation (PBE) of a geometry-optimized Al2CdIr structure.

The value obtained for the calculated formation energy is 0.000 eV per atom. The spin magnetization comes out at 0.00 μB/f.u. For the density of states at the Fermi level, the calculation gives 0.14 states/eV/atom.

Cell: 6.385 6.385 6.385 Å, 90.00 90.00 90.00°
Element x y z (fractional)
Al: 0.000 0.000 0.000
Al: 0.000 0.500 0.500
Al: 0.250 0.250 0.250
Al: 0.250 0.750 0.750
Al: 0.500 0.000 0.500
Al: 0.500 0.500 0.000
Al: 0.750 0.250 0.750
Al: 0.750 0.750 0.250
Cd: 0.000 0.000 0.500
Cd: 0.000 0.500 0.000
Cd: 0.500 0.000 0.000
Cd: 0.500 0.500 0.500
Ir: 0.250 0.250 0.750
Ir: 0.250 0.750 0.250
Ir: 0.750 0.250 0.250
Ir: 0.750 0.750 0.750


# 8
The following is a DFT calculation (PBE) of a geometry-optimized CsGa3O structure.

The spin magnetization comes out at 0.00 μB/f.u. For the density of states at the Fermi level, the calculation gives 1.07 states/eV/atom. The energy above the most stable polymorph in this dataset is 1492 meV per atom. The value obtained for the uncorrected formation energy is 751 kJ/mol of formula units.

Cell: 6.309 6.309 6.309 Å, 90.00 90.00 90.00°
Element x y z (fractional)
Cs: 0.000 0.000 0.000
Ga: 0.000 0.000 0.500
Ga: 0.000 0.500 0.000
Ga: 0.500 0.000 0.000
O: 0.500 0.500 0.500


# 9
The following is a DFT calculation (PBE) of a geometry-optimized PuPt3Au structure.

The value obtained for the calculated formation energy is -0.306 eV per atom. The spin magnetization comes out at 4.55 μB/f.u. For the density of states at the Fermi level, the calculation gives 2.44 states/eV/atom.

Cell: 7.805 7.805 5.170 Å, 90.00 90.00 140.48°
Element x y z (fractional)
Pu: 0.188 0.812 0.750
Pu: 0.812 0.188 0.250
Pt: 0.000 0.000 0.000
Pt: 0.000 0.000 0.500
Pt: 0.120 0.393 0.750
Pt: 0.393 0.120 0.250
Pt: 0.607 0.880 0.750
Pt: 0.880 0.607 0.250
Au: 0.443 0.557 0.250
Au: 0.557 0.443 0.750


# 10
The following is a DFT calculation (PBE) of a geometry-optimized SrNd3Bi4 structure.

The value obtained for the calculated formation energy is -0.875 eV per atom. The spin magnetization comes out at 0.00 μB/f.u. For the density of states at the Fermi level, the calculation gives 0.55 states/eV/atom.

Cell: 8.093 9.368 8.048 Å, 90.00 109.70 90.00°
Element x y z (fractional)
Sr: 0.000 0.124 0.250
Sr: 0.000 0.876 0.750
Nd: 0.000 0.374 0.750
Nd: 0.000 0.626 0.250
Nd: 0.500 0.124 0.750
Nd: 0.500 0.375 0.250
Nd: 0.500 0.625 0.750
Nd: 0.500 0.876 0.250
Bi: 0.253 0.380 0.505
Bi: 0.253 0.620 0.005
Bi: 0.260 0.131 0.999
Bi: 0.260 0.869 0.499
Bi: 0.740 0.131 0.501
Bi: 0.740 0.869 0.001
Bi: 0.747 0.380 0.995
Bi: 0.747 0.620 0.495


# 11
The following is a DFT calculation (PBE) of a geometry-optimized HgCS2Cl structure.

The spin magnetization comes out at 0.00 μB/f.u. For the density of states at the Fermi level, the calculation gives 0.99 states/eV/atom. The energy above the most stable polymorph in this dataset is 1136 meV per atom. The value obtained for the uncorrected formation energy is 1007 kJ/mol of formula units.

Cell: 5.030 5.030 5.020 Å, 90.00 90.00 90.00°
Element x y z (fractional)
Hg: 0.000 0.000 0.000
C: 0.500 0.500 0.500
S: 0.000 0.500 0.000
S: 0.500 0.000 0.000
Cl: 0.000 0.000 0.500


| no. | total DFT energy (no corrections) (eV/atom) |
| --- | --- |
| 1 | -9.739 |
| 2 | -9.651 |
| 3 | -8.566 |
| 4 | -4.541 |
| 5 | -8.106 |
| 6 | -2.926 |
| 7 | -4.315 |
| 8 | -1.422 |
| 9 | -7.452 |
| 10 | -4.814 |
| 11 | -1.838 |